An optimized crystal structure of Y8SbS6. Source: the Alexandria database, functional PBE.

M_tot	0.000	μB/f.u.
energy relative to the elements, uncorrected	-1.589	eV/atom
space-group type	P-3

Structure (CIF):
```
data_Y8SbS6
_cell_length_a 3.956
_cell_length_b 10.194
_cell_length_c 10.194
_cell_angle_alpha 120.00
_cell_angle_beta 90.00
_cell_angle_gamma 90.00
_space_group_name_H-M_alt 'P 1'
_space_group_IT_number 1
loop_
_space_group_symop_operation_xyz
'x,y,z'
loop_
_atom_site_label
_atom_site_fract_x
_atom_site_fract_y
_atom_site_fract_z
S1 0.248 0.347 0.864
S2 0.752 0.653 0.136
Y1 0.745 0.965 0.300
Y2 0.745 0.700 0.665
Y3 0.255 0.035 0.700
S3 0.752 0.864 0.518
Y4 0.252 0.667 0.333
S4 0.248 0.136 0.482
S5 0.248 0.518 0.653
Y5 0.255 0.665 0.965
Y6 0.748 0.333 0.667
S6 0.752 0.482 0.347
Sb1 0.500 0.000 0.000
Y7 0.745 0.335 0.035
Y8 0.255 0.300 0.335
```